Entry from the Alexandria database: crystalline BaTeSe at its relaxed geometry (GGA-PBE).

The space group is P1 (No. 1) and the conventional cell measures 4.769, 5.752 and 8.268 Å, with angles of 88.81, 88.79 and 80.65 degrees. The inequivalent atoms are Ba at (0.000, 0.000, 0.000), Ba at (0.108, 0.512, 0.459), Te at (0.553, 0.721, 0.747), Te at (0.685, 0.058, 0.466), Se at (0.414, 0.430, 0.007) and Se at (0.557, 0.747, 0.230).

The calculation puts the uncorrected formation energy at -1.249 eV/atom. For the polymorph energy (0 for the lowest one), the calculation gives 31 meV per atom.

---

Entry from the Alexandria database: crystalline HgSb2CI at its relaxed geometry (GGA-PBE).

The space group is P4/mmm (No. 123) and the conventional cell measures 5.619, 5.619 and 5.905 Å, with angles of 90.00, 90.00 and 90.00 degrees. The inequivalent atoms are Hg at (0.000, 0.000, 0.000), Sb at (0.000, 0.500, 0.000), C at (0.500, 0.500, 0.500) and I at (0.000, 0.000, 0.500).

The calculation puts the uncorrected formation energy at 2.020 eV/atom. For the polymorph energy (0 for the lowest one), the calculation gives 980 meV per atom. As for the density of states at the Fermi level: 8.91 states/eV per cell.

---

Entry from the Alexandria database: crystalline NaLa2Hg4 at its relaxed geometry (GGA-PBE).

The space group is R-3m (No. 166, hexagonal axes) and the conventional cell measures 5.2735, 5.2735 and 26.0800 Å, with angles of 90.00, 90.00 and 120.00 degrees. The inequivalent atoms are Na at (0.0000, 0.0000, 0.0000), La at (0.0000, 0.0000, 0.2493), Hg at (0.0000, 0.0000, 0.1263) and Hg at (0.0000, 0.0000, 0.3748).

The formation energy is -0.320 eV/atom. As for the density of states at the Fermi level: 16.98 states/eV per cell.

---

Entry from the Alexandria database: crystalline Fe2Co at its relaxed geometry (GGA-PBE).

The space group is Fd-3m (No. 227, origin choice 2) and the conventional cell measures 6.546, 6.546 and 6.546 Å, with angles of 90.00, 90.00 and 90.00 degrees. The inequivalent atoms are Fe at (0.000, 0.000, 0.000) and Co at (0.125, 0.125, 0.625).

The formation energy is 0.209 eV/atom. As for the density of states at the Fermi level: 34.98 states/eV per cell.

---

Entry from the Alexandria database: crystalline Ac2ZnSb4Ir3 at its relaxed geometry (GGA-PBE).

The space group is P-4m2 (No. 115) and the conventional cell measures 4.731, 4.731 and 10.457 Å, with angles of 90.00, 90.00 and 90.00 degrees. The inequivalent atoms are Ac at (0.000, 0.500, 0.246), Zn at (0.500, 0.500, 0.000), Sb at (0.000, 0.000, 0.500), Sb at (0.000, 0.500, 0.870), Sb at (0.500, 0.500, 0.500), Ir at (0.000, 0.000, 0.000) and Ir at (0.000, 0.500, 0.617).

The calculation puts the uncorrected formation energy at -0.620 eV/atom. As for the density of states at the Fermi level: 4.60 states/eV per cell.

---

Entry from the Alexandria database: crystalline HgTe2Pb at its relaxed geometry (GGA-PBE).

The space group is Cm (No. 8) and the conventional cell measures 14.667, 4.354 and 4.569 Å, with angles of 90.00, 94.10 and 90.00 degrees. The inequivalent atoms are Hg at (0.000, 0.000, 0.000), Te at (0.173, 0.000, 0.281), Te at (0.408, 0.000, 0.699) and Pb at (0.243, 0.500, 0.802).

The calculation puts the uncorrected formation energy at -0.149 eV/atom.

---

Entry from the Alexandria database: crystalline Ca2FeBr at its relaxed geometry (GGA-PBE).

The space group is I-42d (No. 122) and the conventional cell measures 7.876, 7.876 and 7.659 Å, with angles of 90.00, 90.00 and 90.00 degrees. The inequivalent atoms are Ca at (0.249, 0.250, 0.125), Fe at (0.000, 0.000, 0.000) and Br at (0.000, 0.000, 0.500).

The calculation puts the uncorrected formation energy at -0.009 eV/atom. For the polymorph energy (0 for the lowest one), the calculation gives 317 meV per atom. As for the density of states at the Fermi level: 19.93 states/eV per cell.

---

Entry from the Alexandria database: crystalline Sr2MgCuN at its relaxed geometry (GGA-PBE).

The space group is P4/mmm (No. 123) and the conventional cell measures 5.337, 5.337 and 4.162 Å, with angles of 90.00, 90.00 and 90.00 degrees. The inequivalent atoms are Sr at (0.000, 0.500, 0.000), Mg at (0.000, 0.000, 0.500), Cu at (0.500, 0.500, 0.500) and N at (0.000, 0.000, 0.000).

The calculation puts the uncorrected formation energy at -0.247 eV/atom. As for the density of states at the Fermi level: 3.57 states/eV per cell.

---

The electronic total energy results, record by record, are as follows: -4.099, -1.844, -2.089, -7.801, -5.876, -2.722, -3.544, -3.723 eV per atom.